First-principles (GGA-PBE) data for crystalline Pm5DyZn6 at its relaxed geometry, as listed in Alexandria via LeMat-Bulk.

```
Pm5DyZn6
1.0
4.875 -0.029 1.632
0.039 7.294 0.013
0.002 -0.015 8.157
Zn Dy Pm
6 1 5
Cartesian
2.467 5.498 0.826
0.810 1.781 5.753
0.830 5.483 5.760
2.447 1.767 0.819
4.106 5.469 4.049
4.086 1.767 4.042
0.000 0.000 0.000
1.639 3.632 3.288
0.020 3.647 0.007
3.247 -0.029 6.538
1.630 -0.015 3.251
3.277 3.618 6.514
```

Results
The size of the total moment is 0.000 μB/f.u. For the mass density, the calculation gives 7.33 g/cm3. Its final energy is -3.318 eV/atom.



First-principles (GGA-PBE) data for crystalline Th2MgSc4 at its relaxed geometry, as listed in Alexandria via LeMat-Bulk.

```
Th2MgSc4
1.0
7.578 -2.940 -4.667
-4.754 8.055 0.606
-1.735 2.940 8.729
Sc Mg Th
8 2 4
Cartesian
2.278 1.091 4.829
2.075 4.407 5.120
-0.283 5.429 2.278
-0.528 2.871 5.120
-1.189 6.965 -0.161
-0.986 3.648 -0.453
1.371 2.627 2.389
1.616 5.184 -0.453
-4.867 8.247 7.001
-1.622 2.749 2.334
-0.785 6.280 5.456
4.247 0.782 2.031
1.874 1.775 -0.789
-3.158 7.273 2.637
```

Results
The size of the total moment is 0.424 μB/f.u. For the mass density, the calculation gives 5.54 g/cm3. Its final energy is -5.685 eV/atom.



First-principles (GGA-PBE) data for crystalline Nb3CuTc at its relaxed geometry, as listed in Alexandria via LeMat-Bulk.

```
Nb3CuTc
1.0
4.597 0.000 0.000
0.000 4.597 0.000
0.000 0.000 4.597
Tc Nb Cu
1 3 1
Cartesian
2.299 2.299 2.299
0.000 0.000 2.299
0.000 2.299 0.000
2.299 0.000 0.000
0.000 0.000 0.000
```

Results
The offset from the most stable computed form comes out at 129 meV/atom. The size of the total moment is 0.001 μB/f.u. For the mass density, the calculation gives 7.52 g/cm3. Its final energy is -7.589 eV/atom.



First-principles (GGA-PBE) data for crystalline AgB2AsO6 at its relaxed geometry, as listed in Alexandria via LeMat-Bulk.

```
AgB2AsO6
1.0
-1.469 -3.540 -2.720
3.930 -6.164 2.622
-6.338 -2.665 3.612
As Ag O B
2 2 12 4
Cartesian
-3.947 -4.490 2.666
0.070 -7.880 0.848
2.882 -6.817 2.007
-6.758 -5.553 1.506
0.244 -4.319 2.347
-0.739 -7.183 2.271
-5.204 -5.509 3.136
-3.138 -5.187 1.243
-4.121 -8.050 1.166
-4.387 -2.893 2.359
-1.411 -3.513 0.900
-2.466 -8.857 2.613
-2.265 -6.905 4.024
1.328 -6.861 0.378
-1.611 -5.465 -0.511
0.511 -9.477 1.154
-1.828 -7.676 2.974
-2.049 -4.694 0.539
-0.424 -3.227 1.813
-3.453 -9.143 1.700
```

Results
The size of the total moment is 0.000 μB/f.u. For the mass density, the calculation gives 3.75 g/cm3. The value obtained for the raw formation energy is -1540 meV/atom. Its final energy is -6.600 eV/atom.



First-principles (GGA-PBE) data for crystalline NaTe2Au2 at its relaxed geometry, as listed in Alexandria via LeMat-Bulk.

```
NaTe2Au2
1.0
-0.591 4.849 2.627
-2.092 -2.641 4.405
3.156 0.644 5.376
Na Au Te
1 2 2
Cartesian
0.000 0.000 0.000
0.020 1.932 8.150
0.453 0.920 4.258
-0.139 -0.447 6.649
0.612 3.299 5.759
```

Results
The offset from the most stable computed form comes out at 67 meV/atom. The size of the total moment is 0.000 μB/f.u. For the mass density, the calculation gives 7.42 g/cm3. The value obtained for the raw formation energy is -221 meV/atom. Its final energy is -3.052 eV/atom.



First-principles (GGA-PBE) data for crystalline ZrGaP at its relaxed geometry, as listed in Alexandria via LeMat-Bulk.

```
ZrGaP
1.0
5.167 0.000 0.000
0.000 3.755 0.000
-0.706 0.000 6.356
Ga Zr P
2 2 2
Cartesian
-0.430 0.000 5.761
2.843 1.877 5.379
0.233 1.877 1.635
2.845 0.000 3.144
0.274 0.000 3.452
2.806 1.877 1.326
```

Results
The offset from the most stable computed form comes out at 85 meV/atom. The size of the total moment is 0.000 μB/f.u. For the mass density, the calculation gives 5.17 g/cm3. Its final energy is -6.336 eV/atom.